Record 1
10
Lattice="-3.634 -0.564 1.232 -1.106 -0.802 -3.630 2.806 -13.455 2.119" Properties=species:S:1:pos:R:3 comment="TbYS2O PBE optimized geometry" raw_formation_energy_ev_per_atom=-2.54 pbc="T T T"
S 0.737 -12.528 2.545
Y -1.465 -1.970 0.882
O -0.967 -7.411 -0.140
O 1.403 -6.728 1.059
S 1.395 -9.745 -0.344
S -0.301 -1.610 -1.625
Tb 0.618 -6.017 -0.931
Y 1.901 -12.168 0.038
Tb -0.182 -8.122 1.851
S -0.960 -4.393 1.264

Record 2
26
Lattice="-5.531 5.712 1.392 -3.950 0.160 7.049 2.739 7.313 4.275" Properties=species:S:1:pos:R:3 comment="TcS3O9 PBE optimized geometry" raw_formation_energy_ev_per_atom=-1.07 pbc="T T T"
O -4.810 4.786 5.752
S -1.646 7.947 5.501
Tc -1.088 6.225 2.827
O -0.446 8.488 6.293
O -5.780 3.651 7.722
O -6.883 5.607 6.812
O -5.395 9.020 7.218
O -0.331 0.680 0.434
O -1.219 7.253 8.846
O -6.138 7.063 4.207
O -1.405 4.335 3.383
O -2.704 7.505 6.402
O -2.570 2.406 4.443
S -1.499 5.906 9.545
S -0.054 1.657 1.457
S -4.188 9.038 8.007
O -4.849 11.884 8.597
O -4.198 8.171 9.228
O -2.910 5.869 10.038
S -5.500 4.896 7.016
S -2.564 3.895 4.304
O -1.089 6.654 4.809
O -4.714 5.866 7.912
O -2.009 8.925 4.502
Tc -2.237 0.380 3.661
O -2.725 6.580 2.554

Record 3
4
Lattice="0.000 2.921 2.921 2.921 0.000 2.921 2.921 2.921 0.000" Properties=species:S:1:pos:R:3 comment="TcS2O PBE optimized geometry" raw_formation_energy_ev_per_atom=0.51 e_above_lowest_polymorph_ev_per_fu=2.483 pbc="T T T"
Tc 2.921 2.921 2.921
S 1.461 1.461 1.461
O 0.000 0.000 0.000
S 4.382 4.382 4.382

Record 4
8
Lattice="5.371 0.000 0.000 0.000 5.371 0.000 2.686 2.686 4.774" Properties=species:S:1:pos:R:3 comment="TcS2O PBE optimized geometry" raw_formation_energy_ev_per_atom=0.23 e_above_lowest_polymorph_ev_per_fu=1.346 pbc="T T T"
Tc 5.371 2.686 2.387
S 1.312 4.028 1.193
S 6.714 6.745 3.580
S 4.059 1.343 1.193
O 2.686 2.686 0.000
S 4.028 3.998 3.580
Tc 0.000 0.000 0.000
O 2.686 5.371 2.387

Record 5
8
Lattice="5.955 0.000 0.000 0.000 5.955 0.000 2.978 2.978 4.221" Properties=species:S:1:pos:R:3 comment="TcSO2 PBE optimized geometry" raw_formation_energy_ev_per_atom=-0.19 e_above_lowest_polymorph_ev_per_fu=0.900 pbc="T T T"
O 5.955 1.489 1.055
O 7.444 2.977 3.166
S 2.978 2.978 0.000
O 5.956 4.467 1.055
Tc 5.955 2.978 2.111
S 2.978 5.955 2.111
O 4.467 2.978 3.166
Tc 0.000 0.000 0.000

Record 6
4
Lattice="1.720 0.000 7.457 -0.860 1.490 7.457 -0.860 -1.490 7.457" Properties=species:S:1:pos:R:3 comment="TcS2O PBE optimized geometry" raw_formation_energy_ev_per_atom=0.80 e_above_lowest_polymorph_ev_per_fu=3.624 pbc="T T T"
Tc 0.000 0.000 0.000
S 0.000 0.000 20.174
S 0.000 0.000 2.198
O 0.000 0.000 11.186

| no. | total energy (eV/cell) |
| --- | --- |
| 1 | -74.01 |
| 2 | -162.60 |
| 3 | -21.53 |
| 4 | -45.32 |
| 5 | -50.38 |
| 6 | -20.39 |